(1)
{
  "formula": "SrZn4Cu",
  "functional": "PBE",
  "state": "relaxed",
  "lattice_angstrom": [[0.000, 3.812, 3.812], [3.812, 0.000, 3.812], [3.812, 3.812, 0.000]],
  "species": ["Sr", "Zn", "Zn", "Zn", "Zn", "Cu"],
  "frac_coords": [[0.000, 0.000, 0.000], [0.130, 0.623, 0.623], [0.623, 0.130, 0.623], [0.623, 0.623, 0.130], [0.623, 0.623, 0.623], [0.250, 0.250, 0.250]],
  "relative_energy_mev_per_atom": 0.0,
  "formation_energy_mev_per_atom": -7.0
}

(2)
{
  "formula": "SrZn9Cu2",
  "functional": "PBE",
  "state": "relaxed",
  "lattice_angstrom": [[-5.326, 5.326, 3.425], [5.326, -5.326, 3.425], [5.326, 5.326, -3.425]],
  "species": ["Sr", "Sr", "Zn", "Zn", "Zn", "Zn", "Zn", "Zn", "Zn", "Zn", "Zn", "Zn", "Zn", "Zn", "Zn", "Zn", "Zn", "Zn", "Zn", "Zn", "Cu", "Cu", "Cu", "Cu"],
  "frac_coords": [[0.375, 0.625, 0.750], [0.625, 0.375, 0.250], [0.125, 0.875, 0.250], [0.142, 0.565, 0.333], [0.142, 0.809, 0.578], [0.191, 0.268, 0.333], [0.191, 0.858, 0.922], [0.268, 0.191, 0.833], [0.268, 0.435, 0.078], [0.435, 0.268, 0.578], [0.435, 0.858, 0.167], [0.565, 0.142, 0.833], [0.565, 0.732, 0.422], [0.732, 0.565, 0.922], [0.732, 0.809, 0.167], [0.809, 0.142, 0.078], [0.809, 0.732, 0.667], [0.858, 0.191, 0.422], [0.858, 0.435, 0.667], [0.875, 0.125, 0.750], [0.000, 0.000, 0.000], [0.000, 0.000, 0.500], [0.000, 0.500, 0.000], [0.500, 0.000, 0.500]],
  "relative_energy_mev_per_atom": 0.0,
  "formation_energy_mev_per_atom": -190.1
}

(3)
{
  "formula": "SrZn9Cu2",
  "functional": "PBE",
  "state": "relaxed",
  "lattice_angstrom": [[8.115, 0.000, 0.000], [-4.058, 7.028, 0.000], [0.000, 0.000, 3.679]],
  "species": ["Sr", "Zn", "Zn", "Zn", "Zn", "Zn", "Zn", "Zn", "Zn", "Zn", "Cu", "Cu"],
  "frac_coords": [[0.000, 0.000, 0.000], [0.000, 0.500, 0.000], [0.201, 0.402, 0.500], [0.201, 0.799, 0.500], [0.402, 0.201, 0.500], [0.500, 0.000, 0.000], [0.500, 0.500, 0.000], [0.598, 0.799, 0.500], [0.799, 0.201, 0.500], [0.799, 0.598, 0.500], [0.333, 0.667, 0.000], [0.667, 0.333, 0.000]],
  "relative_energy_mev_per_atom": 114.2,
  "formation_energy_mev_per_atom": -75.9
}